NaV6O15 | GGA+U | optimized geometry

Calculated values
D(E_F): 1.75 states/eV/f.u.
ρ: 3.35 g/cm³
Relative energy among the computed polymorphs: 8 meV/atom

POSCAR file:
```
NaV6O15
1.0
7.9202 -1.8290 0.0000
7.9202 1.8290 0.0000
-0.8206 0.0000 9.7224
Na V O
1 6 15
direct
0.0000 0.0000 0.0000
0.1568 0.1568 0.6977
0.2845 0.2845 0.0006
0.3856 0.3856 0.7013
0.6761 0.6761 0.1741
0.7598 0.7598 0.4963
0.9629 0.9629 0.4680
0.0032 0.0032 0.3226
0.0617 0.0617 0.5928
0.1276 0.1276 0.8557
0.2114 0.2114 0.1602
0.2534 0.2534 0.5420
0.2925 0.2925 0.8181
0.3831 0.3831 0.0625
0.4445 0.4445 0.5232
0.4643 0.4643 0.8204
0.5777 0.5777 0.1094
0.6745 0.6745 0.3559
0.6872 0.6872 0.6645
0.7516 0.7516 0.0193
0.8446 0.8446 0.3932
0.8655 0.8655 0.6572
```